1.
# Cs2AgPb, relaxed, DFT PBE-GGA
# Offset from the most stable computed form ... 0.000 eV/atom
# Energy ... -16.8 eV per cell
# E_form ... -0.037 eV/atom
data_Cs2AgPb
_chemical_formula_sum 'Cs4 Ag2 Pb2'
_symmetry_space_group_name_H-M 'A m m 2'
_symmetry_Int_Tables_number 38
_symmetry_space_group_name_Hall 'A 2 -2'
_cell_length_a 5.1402
_cell_length_b 6.0693
_cell_length_c 13.1796
_cell_angle_alpha 90.00
_cell_angle_beta 90.00
_cell_angle_gamma 90.00
loop_
_atom_site_label
_atom_site_type_symbol
_atom_site_fract_x
_atom_site_fract_y
_atom_site_fract_z
_atom_site_occupancy
Cs1 Cs 0.0000 0.0000 0.0000 1
Cs2 Cs 0.5000 0.0000 0.3023 1
Ag1 Ag 0.0000 0.0000 0.6951 1
Pb1 Pb 0.5000 0.0000 0.6092 1

***

2.
# CsAgPb4, relaxed, DFT PBE-GGA
# Energy ... -75.6 eV per cell
# E_form ... -0.059 eV/atom
data_CsAgPb4
_chemical_formula_sum 'Cs4 Ag4 Pb16'
_symmetry_space_group_name_H-M 'C 1 2/m 1'
_symmetry_Int_Tables_number 12
_symmetry_space_group_name_Hall '-C 2y'
_cell_length_a 19.2227
_cell_length_b 8.5200
_cell_length_c 5.9546
_cell_angle_alpha 90.00
_cell_angle_beta 108.02
_cell_angle_gamma 90.00
loop_
_atom_site_label
_atom_site_type_symbol
_atom_site_fract_x
_atom_site_fract_y
_atom_site_fract_z
_atom_site_occupancy
Cs1 Cs 0.2063 0.0000 0.2056 1
Ag1 Ag 0.9999 0.5000 0.2577 1
Pb1 Pb 0.0000 0.1978 0.0000 1
Pb2 Pb 0.0924 0.2643 0.5921 1
Pb3 Pb 0.1371 0.5000 0.1373 1

***

3.
# Cs2AgPb, relaxed, DFT PBE-GGA
# Offset from the most stable computed form ... 0.271 eV/atom
# Energy ... -29.3 eV per cell
# E_form ... 0.233 eV/atom
data_Cs2AgPb
_chemical_formula_sum 'Cs8 Ag4 Pb4'
_symmetry_space_group_name_H-M 'F m -3 m'
_symmetry_Int_Tables_number 225
_symmetry_space_group_name_Hall '-F 4 2 3'
_cell_length_a 9.1461
_cell_length_b 9.1461
_cell_length_c 9.1461
_cell_angle_alpha 90.00
_cell_angle_beta 90.00
_cell_angle_gamma 90.00
loop_
_atom_site_label
_atom_site_type_symbol
_atom_site_fract_x
_atom_site_fract_y
_atom_site_fract_z
_atom_site_occupancy
Cs1 Cs 0.2500 0.2500 0.2500 1
Ag1 Ag 0.0000 0.0000 0.0000 1
Pb1 Pb 0.0000 0.0000 0.5000 1

***

4.
# CsAgPb2, relaxed, DFT PBE-GGA
# Energy ... -34.5 eV per cell
# E_form ... -0.098 eV/atom
data_CsAgPb2
_chemical_formula_sum 'Cs3 Ag3 Pb6'
_symmetry_space_group_name_H-M 'R -3 m'
_symmetry_Int_Tables_number 166
_symmetry_space_group_name_Hall '-R 3 2"'
_cell_length_a 4.9415
_cell_length_b 4.9415
_cell_length_c 21.9869
_cell_angle_alpha 90.00
_cell_angle_beta 90.00
_cell_angle_gamma 120.00
loop_
_atom_site_label
_atom_site_type_symbol
_atom_site_fract_x
_atom_site_fract_y
_atom_site_fract_z
_atom_site_occupancy
Cs1 Cs 0.0000 0.0000 0.0000 1
Ag1 Ag 0.0000 0.0000 0.5000 1
Pb1 Pb 0.0000 0.0000 0.2082 1